## Mo2PRu (PBE)

Data for an optimized crystal structure of Mo2PRu.

abc: 5.172 5.172 4.374
angles: 65.02 65.02 32.83
Sites, in units of the cell vectors:
Mo1 0.011 0.011 0.989
Mo2 0.214 0.214 0.286
P1 0.493 0.493 0.507
Ru1 0.782 0.782 0.719

Output
Space group: Imm2, No. 44
Crystal system: orthorhombic
ρ (g cm⁻³): 9.44
Total magnetization (μB/atom): 0.00
Total DFT energy (no corrections) (eV/atom): -9.324
Energy of formation from the pure elements (meV per atom): -237



## LiSnGePt (PBE)

Data for an optimized crystal structure of LiSnGePt.

abc: 4.626 4.626 4.626
angles: 60.00 60.00 60.00
Sites, in units of the cell vectors:
Ge1 0.250 0.250 0.250
Sn1 0.750 0.750 0.750
Pt1 0.500 0.500 0.500
Li1 0.000 0.000 0.000

Output
Space group: F-43m, No. 216
Crystal system: cubic
ρ (g cm⁻³): 9.33
Total magnetization (μB/atom): 0.00
Total DFT energy (no corrections) (eV/atom): -4.489
Energy of formation from the pure elements (meV per atom): -345



## AcLaH6Ir2 (PBE)

Data for an optimized crystal structure of AcLaH6Ir2.

abc: 5.059 5.059 6.520
angles: 67.18 67.18 60.00
Sites, in units of the cell vectors:
Ac1 0.000 0.000 0.000
La1 0.500 0.500 0.500
H1 0.031 0.574 0.821
H2 0.574 0.031 0.821
H3 0.426 0.426 0.179
H4 0.969 0.426 0.179
H5 0.426 0.969 0.179
H6 0.574 0.574 0.821
Ir1 0.784 0.784 0.647
Ir2 0.216 0.216 0.353

Output
Space group: R-3m, No. 166
Crystal system: trigonal
ρ (g cm⁻³): 9.72
Total magnetization (μB/atom): 0.00
Total DFT energy (no corrections) (eV/atom): -5.142



## Na2InAs4 (PBE)

Data for an optimized crystal structure of Na2InAs4.

abc: 5.367 5.367 8.184
angles: 70.86 70.86 90.00
Sites, in units of the cell vectors:
Na1 0.620 0.620 0.760
Na2 0.380 0.380 0.240
As1 0.824 0.824 0.352
As2 0.176 0.176 0.648
As3 0.000 0.500 0.000
As4 0.500 0.000 0.000
In1 0.000 0.000 0.000

Output
Space group: I4/mmm, No. 139
Crystal system: tetragonal
ρ (g cm⁻³): 3.66
Total magnetization (μB/atom): 0.00
Total DFT energy (no corrections) (eV/atom): -2.966
Energy of formation from the pure elements (meV per atom): 459